First-principles (GGA-PBE) data for a relaxed LiThInSn crystal, as listed in Alexandria via LeMat-Bulk.

## Properties
- magnetization (μB/f.u.) = 0.00
- E_form (eV/atom) = -0.2471
- distance to the lowest polymorph of the same formula (eV/atom) = 0.118

Unit cell a=7.462 b=7.462 c=7.462 alpha=90.00 beta=90.00 gamma=90.00
Space group F-43m (No. 216)
Inequivalent atoms, fractional coordinates:
Li 0.000 0.000 0.000
Th 0.000 0.000 0.500
In 0.250 0.250 0.750
Sn 0.250 0.250 0.250


First-principles (GGA-PBE) data for a relaxed LiTl2In2Sn crystal, as listed in Alexandria via LeMat-Bulk.

## Properties
- magnetization (μB/f.u.) = 0.00
- E_form (eV/atom) = -0.0646

Unit cell a=3.984 b=11.077 c=7.249 alpha=90.00 beta=90.00 gamma=90.00
Space group Pmc2_1 (No. 26)
Inequivalent atoms, fractional coordinates:
Li 0.000 0.006 0.000
Tl 0.000 0.304 0.999
Tl 0.500 0.498 0.250
In 0.000 0.304 0.500
In 0.500 0.140 0.739
Sn 0.500 0.140 0.262


First-principles (GGA-PBE) data for a relaxed LiTlInSn crystal, as listed in Alexandria via LeMat-Bulk.

## Properties
- magnetization (μB/f.u.) = 0.00
- E_form (eV/atom) = -0.0755
- distance to the lowest polymorph of the same formula (eV/atom) = 0.028

Unit cell a=7.451 b=7.451 c=7.451 alpha=90.00 beta=90.00 gamma=90.00
Space group F-43m (No. 216)
Inequivalent atoms, fractional coordinates:
Li 0.000 0.000 0.000
Tl 0.250 0.250 0.250
In 0.000 0.000 0.500
Sn 0.250 0.250 0.750


Question: magnetization of number 2 (LiTl2In2Sn)?
Answer: 0.00 μB/f.u.


Question: Look up the magnetization of the second one.
Answer: 0.00 μB/f.u.


Question: Which formula does entry 2 have?
Answer: LiTl2In2Sn


Question: Which of these has the lowest E_form?
Answer: LiThInSn